Entry 1:
# PBE LaTh2PaN4, optimized geometry
# Raw formation energy in eV/atom: -1.54
# DOS at the Fermi energy in states/eV/cell: 3.124
data_LaTh2PaN4
_symmetry_space_group_name_H-M 'P 1 2/m 1'
_symmetry_Int_Tables_number 10
_symmetry_space_group_name_Hall '-P 2y'
_cell_length_a 6.2982
_cell_length_b 3.6314
_cell_length_c 6.3064
_cell_angle_alpha 90.00
_cell_angle_beta 109.36
_cell_angle_gamma 90.00
loop_
_atom_site_label
_atom_site_type_symbol
_atom_site_fract_x
_atom_site_fract_y
_atom_site_fract_z
La1 La 0.0000 0.0000 0.0000
Th1 Th 0.5000 0.0000 0.5000
Th2 Th 0.5000 0.5000 0.0000
Pa1 Pa 0.0000 0.5000 0.5000
N1 N 0.2309 0.0000 0.7208
N2 N 0.2455 0.5000 0.2805


Entry 2:
# PBE CaLaZn2, optimized geometry
# E_form in eV/atom: 0.00
# DOS at the Fermi energy in states/eV/cell: 10.229
data_CaLaZn2
_symmetry_space_group_name_H-M 'F -4 3 m'
_symmetry_Int_Tables_number 216
_symmetry_space_group_name_Hall 'F -4 2 3'
_cell_length_a 7.2759
_cell_length_b 7.2759
_cell_length_c 7.2759
_cell_angle_alpha 90.00
_cell_angle_beta 90.00
_cell_angle_gamma 90.00
loop_
_atom_site_label
_atom_site_type_symbol
_atom_site_fract_x
_atom_site_fract_y
_atom_site_fract_z
Ca1 Ca 0.0000 0.0000 0.0000
La1 La 0.2500 0.2500 0.7500
Zn1 Zn 0.0000 0.0000 0.5000
Zn2 Zn 0.2500 0.2500 0.2500


Entry 3:
# PBE Na3TaF, optimized geometry
# Raw formation energy in eV/atom: 0.95
# DOS at the Fermi energy in states/eV/cell: 4.179
data_Na3TaF
_symmetry_space_group_name_H-M 'P m -3 m'
_symmetry_Int_Tables_number 221
_symmetry_space_group_name_Hall '-P 4 2 3'
_cell_length_a 6.0453
_cell_length_b 6.0453
_cell_length_c 6.0453
_cell_angle_alpha 90.00
_cell_angle_beta 90.00
_cell_angle_gamma 90.00
loop_
_atom_site_label
_atom_site_type_symbol
_atom_site_fract_x
_atom_site_fract_y
_atom_site_fract_z
Na1 Na 0.0000 0.0000 0.5000
Ta1 Ta 0.0000 0.0000 0.0000
F1 F 0.5000 0.5000 0.5000


Entry 4:
# PBE Na2CdIn5Ag2, optimized geometry
# E_form in eV/atom: -0.07
# DOS at the Fermi energy in states/eV/cell: 5.147
data_Na2CdIn5Ag2
_symmetry_space_group_name_H-M 'P 4/m b m'
_symmetry_Int_Tables_number 127
_symmetry_space_group_name_Hall '-P 4 2ab'
_cell_length_a 10.5220
_cell_length_b 10.5220
_cell_length_c 4.4950
_cell_angle_alpha 90.00
_cell_angle_beta 90.00
_cell_angle_gamma 90.00
loop_
_atom_site_label
_atom_site_type_symbol
_atom_site_fract_x
_atom_site_fract_y
_atom_site_fract_z
Na1 Na 0.1774 0.3226 0.0000
Cd1 Cd 0.0000 0.0000 0.0000
In1 In 0.0000 0.5000 0.5000
In2 In 0.0664 0.7986 0.5000
Ag1 Ag 0.1186 0.6186 0.0000


Entry 5:
# PBE LaPr2CdN, optimized geometry
# Raw formation energy in eV/atom: -0.69
# DOS at the Fermi energy in states/eV/cell: 5.176
data_LaPr2CdN
_symmetry_space_group_name_H-M 'P 4/m m m'
_symmetry_Int_Tables_number 123
_symmetry_space_group_name_Hall '-P 4 2'
_cell_length_a 5.1134
_cell_length_b 5.1134
_cell_length_c 5.0956
_cell_angle_alpha 90.00
_cell_angle_beta 90.00
_cell_angle_gamma 90.00
loop_
_atom_site_label
_atom_site_type_symbol
_atom_site_fract_x
_atom_site_fract_y
_atom_site_fract_z
La1 La 0.0000 0.0000 0.0000
Pr1 Pr 0.0000 0.5000 0.5000
Cd1 Cd 0.5000 0.5000 0.0000
N1 N 0.0000 0.0000 0.5000


Entry 6:
# PBE Cs3SiF7, optimized geometry
# Raw formation energy in eV/atom: -3.07
# DOS at the Fermi energy in states/eV/cell: 0.000
data_Cs3SiF7
_symmetry_space_group_name_H-M 'P 4/m b m'
_symmetry_Int_Tables_number 127
_symmetry_space_group_name_Hall '-P 4 2ab'
_cell_length_a 8.4528
_cell_length_b 8.4528
_cell_length_c 6.2385
_cell_angle_alpha 90.00
_cell_angle_beta 90.00
_cell_angle_gamma 90.00
loop_
_atom_site_label
_atom_site_type_symbol
_atom_site_fract_x
_atom_site_fract_y
_atom_site_fract_z
Cs1 Cs 0.0000 0.0000 0.0000
Cs2 Cs 0.1958 0.3042 0.5000
Si1 Si 0.0000 0.5000 0.0000
F1 F 0.0000 0.0000 0.5000
F2 F 0.1016 0.6016 0.1963
F3 F 0.1440 0.3560 0.0000


Entry 7:
# PBE SmBi3Rh2, optimized geometry
# E_form in eV/atom: -0.30
# DOS at the Fermi energy in states/eV/cell: 5.598
data_SmBi3Rh2
_symmetry_space_group_name_H-M 'P -3 m 1'
_symmetry_Int_Tables_number 164
_symmetry_space_group_name_Hall '-P 3 2"'
_cell_length_a 7.9958
_cell_length_b 7.9958
_cell_length_c 5.7499
_cell_angle_alpha 90.00
_cell_angle_beta 90.00
_cell_angle_gamma 120.00
loop_
_atom_site_label
_atom_site_type_symbol
_atom_site_fract_x
_atom_site_fract_y
_atom_site_fract_z
Sm1 Sm 0.3333 0.6667 0.2391
Bi1 Bi 0.1671 0.3342 0.7648
Rh1 Rh 0.0000 0.0000 0.5000
Rh2 Rh 0.0000 0.5000 0.5000


Entry 8:
# PBE LaPr2Y8, optimized geometry
# E_form in eV/atom: 0.14
# DOS at the Fermi energy in states/eV/cell: 38.173
data_LaPr2Y8
_symmetry_space_group_name_H-M 'C 1 2/m 1'
_symmetry_Int_Tables_number 12
_symmetry_space_group_name_Hall '-C 2y'
_cell_length_a 19.2811
_cell_length_b 7.1141
_cell_length_c 5.6255
_cell_angle_alpha 90.00
_cell_angle_beta 92.93
_cell_angle_gamma 90.00
loop_
_atom_site_label
_atom_site_type_symbol
_atom_site_fract_x
_atom_site_fract_y
_atom_site_fract_z
La1 La 0.0000 0.0000 0.0000
Pr1 Pr 0.2153 0.5000 0.2486
Y1 Y 0.0463 0.5000 0.2376
Y2 Y 0.1314 0.2666 0.7308
Y3 Y 0.1866 0.0000 0.2335


Entry 9:
# PBE LiAuSe2, optimized geometry
# Raw formation energy in eV/atom: -0.43
# DOS at the Fermi energy in states/eV/cell: 0.622
data_LiAuSe2
_symmetry_space_group_name_H-M 'I m m m'
_symmetry_Int_Tables_number 71
_symmetry_space_group_name_Hall '-I 2 2'
_cell_length_a 3.8422
_cell_length_b 4.4449
_cell_length_c 11.4236
_cell_angle_alpha 90.00
_cell_angle_beta 90.00
_cell_angle_gamma 90.00
loop_
_atom_site_label
_atom_site_type_symbol
_atom_site_fract_x
_atom_site_fract_y
_atom_site_fract_z
Li1 Li 0.0000 0.0000 0.0000
Au1 Au 0.0000 0.0000 0.5000
Se1 Se 0.0000 0.5000 0.1444


Entry 10:
# PBE Sc3AlRu4, optimized geometry
# E_form in eV/atom: -0.56
# DOS at the Fermi energy in states/eV/cell: 9.464
data_Sc3AlRu4
_symmetry_space_group_name_H-M 'P m m m'
_symmetry_Int_Tables_number 47
_symmetry_space_group_name_Hall '-P 2 2'
_cell_length_a 3.2250
_cell_length_b 4.4125
_cell_length_c 8.8887
_cell_angle_alpha 90.00
_cell_angle_beta 90.00
_cell_angle_gamma 90.00
loop_
_atom_site_label
_atom_site_type_symbol
_atom_site_fract_x
_atom_site_fract_y
_atom_site_fract_z
Sc1 Sc 0.0000 0.0000 0.0000
Sc2 Sc 0.0000 0.5000 0.2584
Al1 Al 0.0000 0.0000 0.5000
Ru1 Ru 0.5000 0.0000 0.2636
Ru2 Ru 0.5000 0.5000 0.0000
Ru3 Ru 0.5000 0.5000 0.5000


Entry 11:
# PBE LiIn2Pd5, optimized geometry
# E_form in eV/atom: -0.52
# DOS at the Fermi energy in states/eV/cell: 3.929
data_LiIn2Pd5
_symmetry_space_group_name_H-M 'I 4/m m m'
_symmetry_Int_Tables_number 139
_symmetry_space_group_name_Hall '-I 4 2'
_cell_length_a 5.8584
_cell_length_b 5.8584
_cell_length_c 7.5790
_cell_angle_alpha 90.00
_cell_angle_beta 90.00
_cell_angle_gamma 90.00
loop_
_atom_site_label
_atom_site_type_symbol
_atom_site_fract_x
_atom_site_fract_y
_atom_site_fract_z
Li1 Li 0.0000 0.0000 0.0000
In1 In 0.0000 0.5000 0.0000
Pd1 Pd 0.0000 0.0000 0.5000
Pd2 Pd 0.2500 0.2500 0.2500


Entry 12:
# PBE SbMoOs2, optimized geometry
# Raw formation energy in eV/atom: 0.51
# DOS at the Fermi energy in states/eV/cell: 8.940
data_SbMoOs2
_symmetry_space_group_name_H-M 'C m m m'
_symmetry_Int_Tables_number 65
_symmetry_space_group_name_Hall '-C 2 2'
_cell_length_a 5.8163
_cell_length_b 7.5002
_cell_length_c 2.9600
_cell_angle_alpha 90.00
_cell_angle_beta 90.00
_cell_angle_gamma 90.00
loop_
_atom_site_label
_atom_site_type_symbol
_atom_site_fract_x
_atom_site_fract_y
_atom_site_fract_z
Sb1 Sb 0.0000 0.0000 0.0000
Mo1 Mo 0.0000 0.5000 0.0000
Os1 Os 0.2500 0.2500 0.5000